No. 1
Entry from Alexandria: crystalline PmPrGa at its relaxed geometry (PBE).

The structure belongs to space group P3m1 (No. 156); the cell edges are 5.0161, 5.0161 and 3.8851 Å and the angles 90.00°, 90.00° and 120.00°. The distinct sites, in fractional coordinates, are Pm at (0.0000, 0.0000, 0.0000), Pr at (0.6667, 0.3333, 0.5768) and Ga at (0.3333, 0.6667, 0.2643).

The value obtained for the size of the total moment is 0.00 μB/cell. The value obtained for the formation enthalpy at 0 K is -262 meV per atom. For the volume, the calculation gives 28.22 Å³ per atom. The calculation puts the relative energy among the computed polymorphs at 135 meV per atom. The value obtained for the density of states at the Fermi level is 2.45 states/eV/cell.

---

No. 2
Entry from Alexandria: crystalline AcDy5Ho12 at its relaxed geometry (PBE).

The structure belongs to space group C2/m (No. 12); the cell edges are 11.328, 17.179 and 5.931 Å and the angles 90.00°, 90.38° and 90.00°. The distinct sites, in fractional coordinates, are Ac at (0.000, 0.000, 0.000), Dy at (0.000, 0.166, 0.500), Dy at (0.000, 0.325, 0.000), Dy at (0.000, 0.500, 0.500), Ho at (0.162, 0.500, 0.959), Ho at (0.173, 0.332, 0.555), Ho at (0.184, 0.000, 0.539) and Ho at (0.184, 0.167, 0.942).

The value obtained for the size of the total moment is 0.00 μB/cell. The value obtained for the formation enthalpy at 0 K is 123 meV per atom. For the volume, the calculation gives 32.06 Å³ per atom. The value obtained for the density of states at the Fermi level is 72.16 states/eV/cell.

---

No. 3
Entry from Alexandria: crystalline LaTb4PrEr2 at its relaxed geometry (PBE).

The structure belongs to space group P2/m (No. 10); the cell edges are 7.191, 7.195 and 10.129 Å and the angles 90.00°, 90.06° and 90.00°. The distinct sites, in fractional coordinates, are La at (0.000, 0.000, 0.000), La at (0.500, 0.000, 0.000), Tb at (0.247, 0.253, 0.254), Tb at (0.247, 0.253, 0.746), Pr at (0.500, 0.000, 0.500), Pr at (0.500, 0.500, 0.000), Er at (0.000, 0.000, 0.500), Er at (0.000, 0.500, 0.000), Er at (0.000, 0.500, 0.500) and Er at (0.500, 0.500, 0.500).

The value obtained for the size of the total moment is 0.00 μB/cell. The value obtained for the formation enthalpy at 0 K is 22 meV per atom. For the volume, the calculation gives 32.76 Å³ per atom. The value obtained for the density of states at the Fermi level is 22.04 states/eV/cell.

---

No. 4
Entry from Alexandria: crystalline Cu3HgF9 at its relaxed geometry (PBE).

The structure belongs to space group P2_1/m (No. 11); the cell edges are 5.513, 7.495 and 8.177 Å and the angles 90.00°, 97.09° and 90.00°. The distinct sites, in fractional coordinates, are Cu at (0.000, 0.000, 0.000), Cu at (0.460, 0.003, 0.696), Hg at (0.043, 0.250, 0.418), F at (0.084, 0.250, 0.984), F at (0.141, 0.555, 0.796), F at (0.257, 0.544, 0.484), F at (0.315, 0.549, 0.121), F at (0.347, 0.250, 0.663) and F at (0.427, 0.250, 0.305).

The value obtained for the size of the total moment is 2.12 μB/cell. As for the uncorrected formation energy: -18.79 eV per formula unit. For the volume, the calculation gives 12.90 Å³ per atom. The value obtained for the density of states at the Fermi level is 9.69 states/eV/cell.

---

No. 5
Entry from Alexandria: crystalline AlRe2Hg at its relaxed geometry (PBE).

The structure belongs to space group I-4m2 (No. 119); the cell edges are 4.113, 4.113 and 7.552 Å and the angles 90.00°, 90.00° and 90.00°. The distinct sites, in fractional coordinates, are Al at (0.000, 0.000, 0.000), Re at (0.000, 0.000, 0.500), Re at (0.000, 0.500, 0.250) and Hg at (0.000, 0.500, 0.750).

The value obtained for the size of the total moment is 0.00 μB/cell. The value obtained for the formation enthalpy at 0 K is 494 meV per atom. For the volume, the calculation gives 15.97 Å³ per atom. The calculation puts the relative energy among the computed polymorphs at 341 meV per atom. The value obtained for the density of states at the Fermi level is 6.04 states/eV/cell.

---

No. 6
Entry from Alexandria: crystalline ZrAuBr at its relaxed geometry (PBE).

The structure belongs to space group I4mm (No. 107); the cell edges are 3.234, 3.234 and 14.253 Å and the angles 90.00°, 90.00° and 90.00°. The distinct sites, in fractional coordinates, are Zr at (0.000, 0.000, 0.000), Au at (0.000, 0.000, 0.370) and Br at (0.000, 0.000, 0.623).

The value obtained for the size of the total moment is 0.00 μB/cell. As for the uncorrected formation energy: -1.53 eV per formula unit. For the volume, the calculation gives 24.84 Å³ per atom. The calculation puts the relative energy among the computed polymorphs at 67 meV per atom. The value obtained for the density of states at the Fermi level is 4.69 states/eV/cell.

---

No. 7
Entry from Alexandria: crystalline Cr3Fe at its relaxed geometry (PBE).

The structure belongs to space group P6_3/mmc (No. 194); the cell edges are 5.0272, 5.0272 and 4.1634 Å and the angles 90.00°, 90.00° and 120.00°. The distinct sites, in fractional coordinates, are Cr at (0.1682, 0.3364, 0.2500) and Fe at (0.3333, 0.6667, 0.7500).

The value obtained for the size of the total moment is 0.03 μB/cell. The value obtained for the formation enthalpy at 0 K is 290 meV per atom. For the volume, the calculation gives 11.39 Å³ per atom. The value obtained for the density of states at the Fermi level is 16.95 states/eV/cell.

---

No. 8
Entry from Alexandria: crystalline TlCl3 at its relaxed geometry (PBE).

The structure belongs to space group Cmmm (No. 65); the cell edges are 4.216, 8.126 and 7.596 Å and the angles 90.00°, 90.00° and 90.00°. The distinct sites, in fractional coordinates, are Tl at (0.000, 0.000, 0.000), Cl at (0.000, 0.000, 0.500) and Cl at (0.000, 0.500, 0.238).

The value obtained for the size of the total moment is 0.00 μB/cell. As for the uncorrected formation energy: -0.72 eV per formula unit. For the volume, the calculation gives 32.53 Å³ per atom. The value obtained for the density of states at the Fermi level is 4.75 states/eV/cell.

---

Question: Which of these has the highest size of the total moment?
Answer: Cu3HgF9